Ag2P2Au: relaxed, GGA-PBE.

Geometry as CIF:
```
data_Ag2P2Au
_chemical_formula_sum 'Ag4 P4 Au2'
_cell_length_a 6.3020
_cell_length_b 6.3020
_cell_length_c 4.8843
_cell_angle_alpha 90.00
_cell_angle_beta 90.00
_cell_angle_gamma 90.00
_symmetry_space_group_name_H-M 'P 1'
_symmetry_Int_Tables_number 1
loop_
_symmetry_equiv_pos_as_xyz
'x,y,z'
loop_
_atom_site_label
_atom_site_type_symbol
_atom_site_fract_x
_atom_site_fract_y
_atom_site_fract_z
P1 P 0.3750 0.8750 0.0000
P2 P 0.8750 0.6250 0.0000
P3 P 0.6250 0.1250 0.0000
P4 P 0.1250 0.3750 0.0000
Au1 Au 0.0000 0.0000 0.0000
Au2 Au 0.5000 0.5000 0.0000
Ag1 Ag 0.3252 0.8252 0.5000
Ag2 Ag 0.8252 0.6748 0.5000
Ag3 Ag 0.6748 0.1748 0.5000
Ag4 Ag 0.1748 0.3252 0.5000
```

Values from the calculation:
- SG = P4/mbm (127)
- DOS(E_F) (states/eV/f.u.) = 1.57
- energy above the lowest structure with this stoichiometry (meV per atom) = 0
- ΔH_f (0 K) (eV/atom) = 0.130